Entry 1:
# meta-GGA SCAN SbPO4, PBEsol geometry
data_SbPO4
_chemical_formula_sum 'Sb4 P4 O16'
_cell_length_a 9.408
_cell_length_b 6.744
_cell_length_c 5.076
_cell_angle_alpha 90.00
_cell_angle_beta 90.00
_cell_angle_gamma 90.00
_symmetry_space_group_name_H-M 'P n m a'
_symmetry_Int_Tables_number 62
loop_
_symmetry_equiv_pos_as_xyz
'x,y,z'
'-x,-y,-z'
'-x+1/2,-y,z+1/2'
'x+1/2,y,-z+1/2'
'x+1/2,-y+1/2,-z+1/2'
'-x+1/2,y+1/2,z+1/2'
'-x,y+1/2,-z'
'x,-y+1/2,z'
loop_
_atom_site_label
_atom_site_type_symbol
_atom_site_fract_x
_atom_site_fract_y
_atom_site_fract_z
Sb1 Sb 0.162 0.250 0.173
P1 P 0.111 0.750 0.198
O1 O 0.054 0.250 0.812
O2 O 0.145 0.750 0.499
O3 O 0.174 0.567 0.058
# Uncorrected energy ... -0.520 hartree per atom
# N(E_F) ... 0.00 states/eV/atom
# Calculated density ... 4.47 g cm⁻³



Entry 2:
# meta-GGA SCAN LiZr, PBEsol geometry
data_LiZr
_chemical_formula_sum 'Li4 Zr4'
_cell_length_a 4.081
_cell_length_b 4.081
_cell_length_c 8.946
_cell_angle_alpha 90.00
_cell_angle_beta 90.00
_cell_angle_gamma 90.00
_symmetry_space_group_name_H-M 'I 41/a m d'
_symmetry_Int_Tables_number 141
loop_
_symmetry_equiv_pos_as_xyz
'x,y,z'
'-x,-y,-z'
'-y+1/4,x+3/4,z+1/4'
'y+1/4,-x+3/4,-z+1/4'
'-x+1/2,-y,z+1/2'
'x+1/2,y,-z+1/2'
'y+1/4,-x+1/4,z+3/4'
'-y+1/4,x+1/4,-z+3/4'
'x,-y,-z'
'-x,y,z'
'-y+1/4,-x+1/4,-z+3/4'
'y+1/4,x+1/4,z+3/4'
'-x+1/2,y,-z+1/2'
'x+1/2,-y,z+1/2'
'y+1/4,x+3/4,-z+1/4'
'-y+1/4,-x+3/4,z+1/4'
'x+1/2,y+1/2,z+1/2'
'-x+1/2,-y+1/2,-z+1/2'
'-y+3/4,x+1/4,z+3/4'
'y+3/4,-x+1/4,-z+3/4'
'-x,-y+1/2,z'
'x,y+1/2,-z'
'y+3/4,-x+3/4,z+1/4'
'-y+3/4,x+3/4,-z+1/4'
'x+1/2,-y+1/2,-z+1/2'
'-x+1/2,y+1/2,z+1/2'
'-y+3/4,-x+3/4,-z+1/4'
'y+3/4,x+3/4,z+1/4'
'-x,y+1/2,-z'
'x,-y+1/2,z'
'y+3/4,x+1/4,-z+3/4'
'-y+3/4,-x+1/4,z+3/4'
loop_
_atom_site_label
_atom_site_type_symbol
_atom_site_fract_x
_atom_site_fract_y
_atom_site_fract_z
Li1 Li 0.000 0.250 0.375
Zr1 Zr 0.000 0.250 0.875
# N(E_F) ... 1.07 states/eV/atom
# DFT formation energy ... 0.441 eV per atom
# Calculated density ... 4.38 g cm⁻³



Entry 3:
# meta-GGA SCAN CoPd2NO, PBEsol geometry
data_CoPd2NO
_chemical_formula_sum 'Co1 Pd2 N1 O1'
_cell_length_a 4.194
_cell_length_b 4.194
_cell_length_c 3.472
_cell_angle_alpha 90.00
_cell_angle_beta 90.00
_cell_angle_gamma 90.00
_symmetry_space_group_name_H-M 'P 4/m m m'
_symmetry_Int_Tables_number 123
_symmetry_space_group_name_Hall '-P 4 2'
loop_
_atom_site_label
_atom_site_type_symbol
_atom_site_fract_x
_atom_site_fract_y
_atom_site_fract_z
Co1 Co 0.000 0.000 0.000
Pd1 Pd 0.000 0.500 0.500
N1 N 0.500 0.500 0.000
O1 O 0.000 0.000 0.500
# Uncorrected energy ... -0.690 hartree per atom
# N(E_F) ... 0.70 states/eV/atom
# Calculated density ... 8.20 g cm⁻³



Entry 4:
# meta-GGA SCAN KNiNF2, PBEsol geometry
data_KNiNF2
_chemical_formula_sum 'K1 Ni1 N1 F2'
_cell_length_a 4.661
_cell_length_b 4.661
_cell_length_c 4.780
_cell_angle_alpha 90.00
_cell_angle_beta 90.00
_cell_angle_gamma 90.00
_symmetry_space_group_name_H-M 'P 4/m m m'
_symmetry_Int_Tables_number 123
_symmetry_space_group_name_Hall '-P 4 2'
loop_
_atom_site_label
_atom_site_type_symbol
_atom_site_fract_x
_atom_site_fract_y
_atom_site_fract_z
K1 K 0.000 0.000 0.000
Ni1 Ni 0.500 0.500 0.500
N1 N 0.000 0.000 0.500
F1 F 0.000 0.500 0.000
# Uncorrected energy ... -0.282 hartree per atom
# N(E_F) ... 1.49 states/eV/atom
# Calculated density ... 2.40 g cm⁻³



Entry 5:
# meta-GGA SCAN TaTlCr2, PBEsol geometry
data_TaTlCr2
_chemical_formula_sum 'Ta2 Tl2 Cr4'
_cell_length_a 5.571
_cell_length_b 8.640
_cell_length_c 2.762
_cell_angle_alpha 90.00
_cell_angle_beta 111.26
_cell_angle_gamma 90.00
_symmetry_space_group_name_H-M 'C 1 2/m 1'
_symmetry_Int_Tables_number 12
loop_
_symmetry_equiv_pos_as_xyz
'x,y,z'
'-x,-y,-z'
'-x,y,-z'
'x,-y,z'
'x+1/2,y+1/2,z'
'-x+1/2,-y+1/2,-z'
'-x+1/2,y+1/2,-z'
'x+1/2,-y+1/2,z'
loop_
_atom_site_label
_atom_site_type_symbol
_atom_site_fract_x
_atom_site_fract_y
_atom_site_fract_z
Ta1 Ta 0.000 0.000 0.000
Tl1 Tl 0.000 0.500 0.000
Cr1 Cr 0.250 0.250 0.500
# N(E_F) ... 0.54 states/eV/atom
# DFT formation energy ... 0.703 eV per atom
# Calculated density ... 13.11 g cm⁻³



Entry 6:
# meta-GGA SCAN LaZr2Cu, PBEsol geometry
data_LaZr2Cu
_chemical_formula_sum 'La1 Zr2 Cu1'
_cell_length_a 3.272
_cell_length_b 3.272
_cell_length_c 8.361
_cell_angle_alpha 90.00
_cell_angle_beta 90.00
_cell_angle_gamma 90.00
_symmetry_space_group_name_H-M 'P 4 m m'
_symmetry_Int_Tables_number 99
loop_
_symmetry_equiv_pos_as_xyz
'x,y,z'
'-y,x,z'
'-x,-y,z'
'y,-x,z'
'-x,y,z'
'y,x,z'
'x,-y,z'
'-y,-x,z'
loop_
_atom_site_label
_atom_site_type_symbol
_atom_site_fract_x
_atom_site_fract_y
_atom_site_fract_z
La1 La 0.000 0.000 0.000
Zr1 Zr 0.000 0.000 0.565
Zr2 Zr 0.500 0.500 0.321
Cu1 Cu 0.500 0.500 0.743
# N(E_F) ... 0.73 states/eV/atom
# DFT formation energy ... -0.040 eV per atom
# Calculated density ... 7.14 g cm⁻³



Entry 7:
# meta-GGA SCAN YTc2P, PBEsol geometry
data_YTc2P
_chemical_formula_sum 'Y4 Tc8 P4'
_cell_length_a 6.332
_cell_length_b 6.332
_cell_length_c 6.332
_cell_angle_alpha 90.00
_cell_angle_beta 90.00
_cell_angle_gamma 90.00
_symmetry_space_group_name_H-M 'F -4 3 m'
_symmetry_Int_Tables_number 216
_symmetry_space_group_name_Hall 'F -4 2 3'
loop_
_atom_site_label
_atom_site_type_symbol
_atom_site_fract_x
_atom_site_fract_y
_atom_site_fract_z
Y1 Y 0.000 0.000 0.000
Tc1 Tc 0.000 0.000 0.500
Tc2 Tc 0.250 0.250 0.250
P1 P 0.250 0.250 0.750
# N(E_F) ... 0.75 states/eV/atom
# DFT formation energy ... 0.122 eV per atom
# Calculated density ... 8.26 g cm⁻³



Entry 8:
# meta-GGA SCAN K2AgSbCl6, PBEsol geometry
data_K2AgSbCl6
_chemical_formula_sum 'K8 Ag4 Sb4 Cl24'
_cell_length_a 10.462
_cell_length_b 10.462
_cell_length_c 10.462
_cell_angle_alpha 90.00
_cell_angle_beta 90.00
_cell_angle_gamma 90.00
_symmetry_space_group_name_H-M 'F m -3 m'
_symmetry_Int_Tables_number 225
_symmetry_space_group_name_Hall '-F 4 2 3'
loop_
_atom_site_label
_atom_site_type_symbol
_atom_site_fract_x
_atom_site_fract_y
_atom_site_fract_z
K1 K 0.250 0.250 0.250
Ag1 Ag 0.000 0.000 0.000
Sb1 Sb 0.000 0.000 0.500
Cl1 Cl 0.000 0.000 0.249
# Uncorrected energy ... -0.538 hartree per atom
# Calculated density ... 3.02 g cm⁻³



Entry 9:
# meta-GGA SCAN BeNi2Sb, PBEsol geometry
data_BeNi2Sb
_chemical_formula_sum 'Be1 Ni2 Sb1'
_cell_length_a 3.762
_cell_length_b 3.762
_cell_length_c 3.469
_cell_angle_alpha 90.00
_cell_angle_beta 90.00
_cell_angle_gamma 90.00
_symmetry_space_group_name_H-M 'P 4/m m m'
_symmetry_Int_Tables_number 123
_symmetry_space_group_name_Hall '-P 4 2'
loop_
_atom_site_label
_atom_site_type_symbol
_atom_site_fract_x
_atom_site_fract_y
_atom_site_fract_z
Be1 Be 0.000 0.000 0.000
Ni1 Ni 0.000 0.500 0.500
Sb1 Sb 0.500 0.500 0.000
# Uncorrected energy ... -0.682 hartree per atom
# N(E_F) ... 0.56 states/eV/atom
# Calculated density ... 8.39 g cm⁻³



Entry 10:
# meta-GGA SCAN In2NiW, PBEsol geometry
data_In2NiW
_chemical_formula_sum 'In4 Ni2 W2'
_cell_length_a 2.886
_cell_length_b 4.670
_cell_length_c 10.150
_cell_angle_alpha 90.00
_cell_angle_beta 90.00
_cell_angle_gamma 90.00
_symmetry_space_group_name_H-M 'I m m 2'
_symmetry_Int_Tables_number 44
loop_
_symmetry_equiv_pos_as_xyz
'x,y,z'
'-x,-y,z'
'-x,y,z'
'x,-y,z'
'x+1/2,y+1/2,z+1/2'
'-x+1/2,-y+1/2,z+1/2'
'-x+1/2,y+1/2,z+1/2'
'x+1/2,-y+1/2,z+1/2'
loop_
_atom_site_label
_atom_site_type_symbol
_atom_site_fract_x
_atom_site_fract_y
_atom_site_fract_z
In1 In 0.000 0.000 0.000
In2 In 0.000 0.500 0.209
Ni1 Ni 0.000 0.500 0.736
W1 W 0.000 0.000 0.437
# N(E_F) ... 0.48 states/eV/atom
# DFT formation energy ... 0.418 eV per atom
# Calculated density ... 11.46 g cm⁻³



Entry 11:
# meta-GGA SCAN AgPbI3, PBEsol geometry
data_AgPbI3
_chemical_formula_sum 'Ag1 Pb1 I3'
_cell_length_a 6.088
_cell_length_b 6.088
_cell_length_c 6.088
_cell_angle_alpha 90.00
_cell_angle_beta 90.00
_cell_angle_gamma 90.00
_symmetry_space_group_name_H-M 'P m -3 m'
_symmetry_Int_Tables_number 221
_symmetry_space_group_name_Hall '-P 4 2 3'
loop_
_atom_site_label
_atom_site_type_symbol
_atom_site_fract_x
_atom_site_fract_y
_atom_site_fract_z
Ag1 Ag 0.000 0.000 0.000
Pb1 Pb 0.500 0.500 0.500
I1 I 0.000 0.500 0.500
# Uncorrected energy ... -1.595 hartree per atom
# N(E_F) ... 0.11 states/eV/atom
# Calculated density ... 5.12 g cm⁻³



Entry 12:
# meta-GGA SCAN Mn3RuC, PBEsol geometry
data_Mn3RuC
_chemical_formula_sum 'Mn3 Ru1 C1'
_cell_length_a 3.715
_cell_length_b 3.715
_cell_length_c 3.715
_cell_angle_alpha 90.00
_cell_angle_beta 90.00
_cell_angle_gamma 90.00
_symmetry_space_group_name_H-M 'P m -3 m'
_symmetry_Int_Tables_number 221
_symmetry_space_group_name_Hall '-P 4 2 3'
loop_
_atom_site_label
_atom_site_type_symbol
_atom_site_fract_x
_atom_site_fract_y
_atom_site_fract_z
Mn1 Mn 0.000 0.000 0.500
Ru1 Ru 0.500 0.500 0.500
C1 C 0.000 0.000 0.000
# N(E_F) ... 0.87 states/eV/atom
# DFT formation energy ... 0.237 eV per atom
# Calculated density ... 9.00 g cm⁻³



Entry 13:
# meta-GGA SCAN ZnInAg2, PBEsol geometry
data_ZnInAg2
_chemical_formula_sum 'Zn2 In2 Ag4'
_cell_length_a 4.065
_cell_length_b 4.065
_cell_length_c 8.307
_cell_angle_alpha 90.00
_cell_angle_beta 90.00
_cell_angle_gamma 90.00
_symmetry_space_group_name_H-M 'I -4 m 2'
_symmetry_Int_Tables_number 119
_symmetry_space_group_name_Hall 'I -4 -2'
loop_
_atom_site_label
_atom_site_type_symbol
_atom_site_fract_x
_atom_site_fract_y
_atom_site_fract_z
Zn1 Zn 0.000 0.000 0.000
In1 In 0.000 0.500 0.750
Ag1 Ag 0.000 0.000 0.500
Ag2 Ag 0.000 0.500 0.250
# N(E_F) ... 0.28 states/eV/atom
# DFT formation energy ... 0.035 eV per atom
# Calculated density ... 9.58 g cm⁻³